The following is a PBE+U calculation of a geometry-optimized Mn5P4H10O20 structure, from the Alexandria database.

CIF file:
```
data_Mn5P4H10O20
_cell_length_a 9.215
_cell_length_b 10.027
_cell_length_c 9.630
_cell_angle_alpha 95.94
_cell_angle_beta 90.00
_cell_angle_gamma 117.36
_space_group_name_H-M_alt 'P 1'
_space_group_IT_number 1
loop_
_space_group_symop_operation_xyz
'x,y,z'
loop_
_atom_site_label
_atom_site_type_symbol
_atom_site_fract_x
_atom_site_fract_y
_atom_site_fract_z
Mn1 Mn 0.297 0.652 0.136
Mn2 Mn 0.095 0.367 0.814
Mn3 Mn 0.355 0.652 0.636
Mn4 Mn 0.400 0.000 0.750
Mn5 Mn 0.703 0.348 0.864
Mn6 Mn 0.272 0.367 0.314
Mn7 Mn 0.600 0.000 0.250
Mn8 Mn 0.645 0.348 0.364
Mn9 Mn 0.905 0.633 0.186
Mn10 Mn 0.728 0.633 0.686
H1 H 0.420 0.536 0.917
H2 H 0.087 0.067 0.355
H3 H 0.022 0.870 0.727
H4 H 0.804 0.044 0.017
H5 H 0.196 0.956 0.983
H6 H 0.580 0.464 0.083
H7 H 0.153 0.130 0.773
H8 H 0.929 0.593 0.479
H9 H 0.980 0.067 0.855
H10 H 0.847 0.870 0.227
H11 H 0.760 0.956 0.483
H12 H 0.020 0.933 0.145
H13 H 0.884 0.464 0.583
H14 H 0.116 0.536 0.417
H15 H 0.071 0.407 0.521
H16 H 0.240 0.044 0.517
H17 H 0.336 0.407 0.021
H18 H 0.664 0.593 0.979
H19 H 0.913 0.933 0.645
H20 H 0.978 0.130 0.273
O1 O 0.613 0.687 0.872
O2 O 0.523 0.833 0.057
O3 O 0.106 0.404 0.173
O4 O 0.690 0.167 0.443
O5 O 0.310 0.833 0.557
O6 O 0.069 0.155 0.342
O7 O 0.162 0.484 0.471
O8 O 0.074 0.687 0.372
O9 O 0.901 0.327 0.967
O10 O 0.568 0.400 0.710
O11 O 0.306 0.150 0.656
O12 O 0.495 0.847 0.795
O13 O 0.099 0.673 0.033
O14 O 0.322 0.484 0.971
O15 O 0.426 0.327 0.467
O16 O 0.298 0.404 0.673
O17 O 0.432 0.600 0.290
O18 O 0.086 0.155 0.842
O19 O 0.156 0.850 0.844
O20 O 0.678 0.516 0.029
O21 O 0.223 0.028 0.075
O22 O 0.914 0.845 0.158
O23 O 0.702 0.596 0.327
O24 O 0.804 0.028 0.575
O25 O 0.931 0.845 0.658
O26 O 0.648 0.153 0.705
O27 O 0.352 0.847 0.295
O28 O 0.694 0.850 0.344
O29 O 0.832 0.400 0.210
O30 O 0.505 0.153 0.205
O31 O 0.196 0.972 0.425
O32 O 0.838 0.516 0.529
O33 O 0.168 0.600 0.790
O34 O 0.926 0.313 0.628
O35 O 0.894 0.596 0.827
O36 O 0.844 0.150 0.156
O37 O 0.574 0.673 0.533
O38 O 0.777 0.972 0.925
O39 O 0.477 0.167 0.943
O40 O 0.387 0.313 0.128
P1 P 0.601 0.680 0.373
P2 P 0.598 0.834 0.914
P3 P 0.402 0.166 0.086
P4 P 0.764 0.166 0.586
P5 P 0.399 0.320 0.627
P6 P 0.922 0.320 0.127
P7 P 0.078 0.680 0.873
P8 P 0.236 0.834 0.414
```

As for the crystal system: monoclinic. The symmetry is No. 15. The density of states at the Fermi level is 0.0 states/eV/f.u. The value obtained for the spin magnetization is 50.0 Bohr magnetons per cell. The uncorrected energy is -6.64 eV/atom. As for the volume: 10.1 Å³/atom.